The following is a PBE-GGA calculation of a relaxed Hf2NiMo crystal, from Alexandria via LeMat-Bulk.

Cell and atoms, written as CIF:
```
data_Hf2NiMo
_chemical_formula_sum 'Hf8 Ni4 Mo4'
_cell_length_a 4.082
_cell_length_b 4.082
_cell_length_c 18.164
_cell_angle_alpha 90.00
_cell_angle_beta 90.00
_cell_angle_gamma 90.00
_symmetry_space_group_name_H-M 'I -4 2 d'
_symmetry_Int_Tables_number 122
_symmetry_space_group_name_Hall 'I -4 2bw'
loop_
_atom_site_label
_atom_site_type_symbol
_atom_site_fract_x
_atom_site_fract_y
_atom_site_fract_z
Hf1 Hf 0.249 0.250 0.125
Ni1 Ni 0.000 0.000 0.000
Mo1 Mo 0.000 0.000 0.500
```

Summary:
**DOS at the Fermi energy**: 2.0231 states/eV per atom
**Formation energy**: 2.451 eV per formula unit


The following is a PBE-GGA calculation of a relaxed HfNi3Mo crystal, from Alexandria via LeMat-Bulk.

Cell and atoms, written as CIF:
```
data_HfNi3Mo
_chemical_formula_sum 'Hf1 Ni3 Mo1'
_cell_length_a 4.418
_cell_length_b 4.418
_cell_length_c 4.418
_cell_angle_alpha 90.00
_cell_angle_beta 90.00
_cell_angle_gamma 90.00
_symmetry_space_group_name_H-M 'P m -3 m'
_symmetry_Int_Tables_number 221
_symmetry_space_group_name_Hall '-P 4 2 3'
loop_
_atom_site_label
_atom_site_type_symbol
_atom_site_fract_x
_atom_site_fract_y
_atom_site_fract_z
Hf1 Hf 0.000 0.000 0.000
Ni1 Ni 0.000 0.000 0.500
Mo1 Mo 0.500 0.500 0.500
```

Summary:
**DOS at the Fermi energy**: 1.4917 states/eV per atom
**Formation energy**: 7.003 eV per formula unit


The following is a PBE-GGA calculation of a relaxed Hf3NiMo crystal, from Alexandria via LeMat-Bulk.

Cell and atoms, written as CIF:
```
data_Hf3NiMo
_chemical_formula_sum 'Hf3 Ni1 Mo1'
_cell_length_a 4.957
_cell_length_b 4.957
_cell_length_c 4.957
_cell_angle_alpha 90.00
_cell_angle_beta 90.00
_cell_angle_gamma 90.00
_symmetry_space_group_name_H-M 'P m -3 m'
_symmetry_Int_Tables_number 221
_symmetry_space_group_name_Hall '-P 4 2 3'
loop_
_atom_site_label
_atom_site_type_symbol
_atom_site_fract_x
_atom_site_fract_y
_atom_site_fract_z
Hf1 Hf 0.000 0.000 0.500
Ni1 Ni 0.500 0.500 0.500
Mo1 Mo 0.000 0.000 0.000
```

Summary:
**DOS at the Fermi energy**: 1.6383 states/eV per atom
**Formation energy**: 5.418 eV per formula unit


The following is a PBE-GGA calculation of a relaxed Hf2NiMo crystal, from Alexandria via LeMat-Bulk.

Cell and atoms, written as CIF:
```
data_Hf2NiMo
_chemical_formula_sum 'Hf4 Ni2 Mo2'
_cell_length_a 2.835
_cell_length_b 5.019
_cell_length_c 10.252
_cell_angle_alpha 90.00
_cell_angle_beta 90.00
_cell_angle_gamma 90.00
_symmetry_space_group_name_H-M 'I m m m'
_symmetry_Int_Tables_number 71
_symmetry_space_group_name_Hall '-I 2 2'
loop_
_atom_site_label
_atom_site_type_symbol
_atom_site_fract_x
_atom_site_fract_y
_atom_site_fract_z
Hf1 Hf 0.000 0.000 0.236
Ni1 Ni 0.000 0.000 0.000
Mo1 Mo 0.000 0.000 0.500
```

Summary:
**DOS at the Fermi energy**: 1.0525 states/eV per atom
**Formation energy**: 2.220 eV per formula unit


The following is a PBE-GGA calculation of a relaxed HfNi2Mo2 crystal, from Alexandria via LeMat-Bulk.

Cell and atoms, written as CIF:
```
data_HfNi2Mo2
_chemical_formula_sum 'Hf2 Ni4 Mo4'
_cell_length_a 6.613
_cell_length_b 6.613
_cell_length_c 3.434
_cell_angle_alpha 90.00
_cell_angle_beta 90.00
_cell_angle_gamma 90.00
_symmetry_space_group_name_H-M 'P 4/m b m'
_symmetry_Int_Tables_number 127
_symmetry_space_group_name_Hall '-P 4 2ab'
loop_
_atom_site_label
_atom_site_type_symbol
_atom_site_fract_x
_atom_site_fract_y
_atom_site_fract_z
Hf1 Hf 0.000 0.000 0.000
Ni1 Ni 0.125 0.375 0.000
Mo1 Mo 0.168 0.668 0.500
```

Summary:
**DOS at the Fermi energy**: 1.0246 states/eV per atom
**Formation energy**: 0.185 eV per formula unit


The following is a PBE-GGA calculation of a relaxed Hf9NiMo4 crystal, from Alexandria via LeMat-Bulk.

Cell and atoms, written as CIF:
```
data_Hf9NiMo4
_chemical_formula_sum 'Hf18 Ni2 Mo8'
_cell_length_a 8.6761
_cell_length_b 8.6761
_cell_length_c 8.4788
_cell_angle_alpha 90.00
_cell_angle_beta 90.00
_cell_angle_gamma 120.00
_symmetry_space_group_name_H-M 'P 63/m m c'
_symmetry_Int_Tables_number 194
_symmetry_space_group_name_Hall '-P 6c 2c'
loop_
_atom_site_label
_atom_site_type_symbol
_atom_site_fract_x
_atom_site_fract_y
_atom_site_fract_z
Hf1 Hf 0.0852 0.5426 0.2500
Hf2 Hf 0.2001 0.4003 0.5569
Ni1 Ni 0.3333 0.6667 0.7500
Mo1 Mo 0.0000 0.0000 0.0000
Mo2 Mo 0.1120 0.2241 0.2500
```

Summary:
**DOS at the Fermi energy**: 0.7453 states/eV per atom
**Formation energy**: -2.804 eV per formula unit


The following is a PBE-GGA calculation of a relaxed HfNi2Mo2 crystal, from Alexandria via LeMat-Bulk.

Cell and atoms, written as CIF:
```
data_HfNi2Mo2
_chemical_formula_sum 'Hf2 Ni4 Mo4'
_cell_length_a 3.722
_cell_length_b 3.722
_cell_length_c 11.283
_cell_angle_alpha 90.00
_cell_angle_beta 90.00
_cell_angle_gamma 90.00
_symmetry_space_group_name_H-M 'I 4/m m m'
_symmetry_Int_Tables_number 139
_symmetry_space_group_name_Hall '-I 4 2'
loop_
_atom_site_label
_atom_site_type_symbol
_atom_site_fract_x
_atom_site_fract_y
_atom_site_fract_z
Hf1 Hf 0.000 0.000 0.000
Ni1 Ni 0.000 0.000 0.402
Mo1 Mo 0.000 0.500 0.250
```

Summary:
**DOS at the Fermi energy**: 1.2883 states/eV per atom
**Formation energy**: 0.049 eV per formula unit


The following is a PBE-GGA calculation of a relaxed HfNiMo crystal, from Alexandria via LeMat-Bulk.

Cell and atoms, written as CIF:
```
data_HfNiMo
_chemical_formula_sum 'Hf4 Ni4 Mo4'
_cell_length_a 3.666
_cell_length_b 3.666
_cell_length_c 14.655
_cell_angle_alpha 90.00
_cell_angle_beta 90.00
_cell_angle_gamma 90.00
_symmetry_space_group_name_H-M 'I 4/m m m'
_symmetry_Int_Tables_number 139
_symmetry_space_group_name_Hall '-I 4 2'
loop_
_atom_site_label
_atom_site_type_symbol
_atom_site_fract_x
_atom_site_fract_y
_atom_site_fract_z
Hf1 Hf 0.000 0.000 0.178
Ni1 Ni 0.000 0.000 0.362
Mo1 Mo 0.000 0.500 0.000
```

Summary:
**DOS at the Fermi energy**: 1.1695 states/eV per atom
**Formation energy**: -0.508 eV per formula unit


Please write out number 2 again, unchanged.
The following is a PBE-GGA calculation of a relaxed HfNi3Mo crystal, from Alexandria via LeMat-Bulk.

Cell and atoms, written as CIF:
```
data_HfNi3Mo
_chemical_formula_sum 'Hf1 Ni3 Mo1'
_cell_length_a 4.418
_cell_length_b 4.418
_cell_length_c 4.418
_cell_angle_alpha 90.00
_cell_angle_beta 90.00
_cell_angle_gamma 90.00
_symmetry_space_group_name_H-M 'P m -3 m'
_symmetry_Int_Tables_number 221
_symmetry_space_group_name_Hall '-P 4 2 3'
loop_
_atom_site_label
_atom_site_type_symbol
_atom_site_fract_x
_atom_site_fract_y
_atom_site_fract_z
Hf1 Hf 0.000 0.000 0.000
Ni1 Ni 0.000 0.000 0.500
Mo1 Mo 0.500 0.500 0.500
```

Summary:
**DOS at the Fermi energy**: 1.4917 states/eV per atom
**Formation energy**: 7.003 eV per formula unit